Ce4Pt2Au: optimized geometry, PBE.

a b c (Å): 12.1868 4.3828 13.9074
angles (deg): 90.00 90.00 90.00
Closest atoms and distances in Å follow each position.
Space group Pnma (No. 62)
Unique sites:
Ce (0.0152, 0.2500, 0.1843) (multiplicity 4)  3 Pt 2.93-3.17
Ce (0.0432, 0.2500, 0.6001) (multiplicity 4)  3 Pt 2.92-2.98, 2 Au 3.14
Ce (0.1861, 0.7500, 0.0244) (multiplicity 4)  4 Pt 2.93-3.03, 2 Au 3.18
Ce (0.2464, 0.7500, 0.3125) (multiplicity 4)  3 Pt 2.95, 2 Au 3.05
Pt (0.0595, 0.2500, 0.9397) (multiplicity 4)  6 Ce 2.93-3.03, 2 Pt 3.12
Pt (0.1149, 0.2500, 0.3951) (multiplicity 4)  7 Ce 2.92-3.17
Au (0.2120, 0.7500, 0.6641) (multiplicity 4)  7 Ce 3.05-3.34

Properties
D(E_F) = 23.7 states/eV/f.u.
E_tot = -44.37 eV per formula unit
E above lowest polymorph = 0.0 meV per atom
E_form = -0.75 eV per atom